# 1
A relaxed EuInBi2 crystal. Source: the Alexandria database, functional PBE-GGA.

```
4
Lattice="4.351 0.000 0.000 0.000 4.351 0.000 0.000 0.000 6.659" Properties=species:S:1:pos:R:3 pbc="T T T"
Eu 0.000 0.000 0.000
In 0.000 0.000 3.330
Bi 2.175 2.175 1.620
Bi 2.175 2.175 5.040
```

Results
SG: No. 123
Relative energy among the computed polymorphs in meV per atom: 78
Theoretical density in g/cm³: 9.02
Formation enthalpy at 0 K in eV/atom: -0.40
Volume in A^3/atom: 31.51



# 2
A relaxed EuInBi2 crystal. Source: the Alexandria database, functional PBE-GGA.

```
4
Lattice="4.972 0.000 0.000 0.000 4.972 0.000 0.000 0.000 4.903" Properties=species:S:1:pos:R:3 pbc="T T T"
Eu 0.000 0.000 0.000
In 2.486 2.486 0.000
Bi 0.000 2.486 2.451
Bi 2.486 0.000 2.451
```

Results
SG: No. 123
Relative energy among the computed polymorphs in meV per atom: 0
Theoretical density in g/cm³: 9.38
Formation enthalpy at 0 K in eV/atom: -0.47
Volume in A^3/atom: 30.29



# 3
A relaxed EuInBi crystal. Source: the Alexandria database, functional PBE-GGA.

```
3
Lattice="-2.255 2.255 4.821 2.255 -2.255 4.821 2.255 2.255 -4.821" Properties=species:S:1:pos:R:3 pbc="T T T"
Eu 0.000 0.000 0.000
In 0.000 0.000 6.445
Bi 0.000 0.000 3.327
```

Results
SG: No. 107
Relative energy among the computed polymorphs in meV per atom: 48
Theoretical density in g/cm³: 8.06
Formation enthalpy at 0 K in eV/atom: -0.39
Volume in A^3/atom: 32.68



# 4
A relaxed EuInBi2 crystal. Source: the Alexandria database, functional PBE-GGA.

```
4
Lattice="1.763 1.018 12.607 -1.763 1.018 12.607 0.000 -2.035 12.607" Properties=species:S:1:pos:R:3 pbc="T T T"
Eu 0.000 0.000 0.000
In 0.000 0.000 18.911
Bi 0.000 0.000 3.314
Bi 0.000 0.000 34.508
```

Results
SG: No. 166
Relative energy among the computed polymorphs in meV per atom: 537
Theoretical density in g/cm³: 8.38
Formation enthalpy at 0 K in eV/atom: 0.06
Volume in A^3/atom: 33.93



# 5
A relaxed EuInBi crystal. Source: the Alexandria database, functional PBE-GGA.

```
3
Lattice="0.000 3.874 3.874 3.874 0.000 3.874 3.874 3.874 0.000" Properties=species:S:1:pos:R:3 pbc="T T T"
Eu 0.000 0.000 0.000
In 3.874 3.874 3.874
Bi 5.811 5.811 5.811
```

Results
SG: No. 216
Relative energy among the computed polymorphs in meV per atom: 128
Theoretical density in g/cm³: 6.79
Formation enthalpy at 0 K in eV/atom: -0.31
Volume in A^3/atom: 38.76



# 6
A relaxed EuInBi crystal. Source: the Alexandria database, functional PBE-GGA.

```
3
Lattice="5.539 0.000 0.000 -2.770 4.797 0.000 0.000 0.000 3.534" Properties=species:S:1:pos:R:3 pbc="T T T"
Eu 0.000 0.000 0.000
In 0.000 3.198 1.784
Bi 2.770 1.599 1.758
```

Results
SG: No. 156
Relative energy among the computed polymorphs in meV per atom: 0
Theoretical density in g/cm³: 8.41
Formation enthalpy at 0 K in eV/atom: -0.44
Volume in A^3/atom: 31.31



# 7
A relaxed LaEuInBi crystal. Source: the Alexandria database, functional PBE-GGA.

```
4
Lattice="0.000 3.999 3.999 3.999 0.000 3.999 3.999 3.999 0.000" Properties=species:S:1:pos:R:3 pbc="T T T"
La 0.000 0.000 0.000
Eu 3.999 3.999 3.999
In 1.999 1.999 1.999
Bi 5.998 5.998 5.998
```

Results
SG: No. 216
Theoretical density in g/cm³: 7.98
Formation enthalpy at 0 K in eV/atom: -0.58
Volume in A^3/atom: 31.96



# 8
A relaxed EuLuInBi crystal. Source: the Alexandria database, functional PBE-GGA.

```
4
Lattice="0.000 3.883 3.883 3.883 0.000 3.883 3.883 3.883 0.000" Properties=species:S:1:pos:R:3 pbc="T T T"
Eu 0.000 0.000 0.000
Lu 3.883 3.883 3.883
In 5.825 5.825 5.825
Bi 1.942 1.942 1.942
```

Results
SG: No. 216
Theoretical density in g/cm³: 9.23
Formation enthalpy at 0 K in eV/atom: -0.44
Volume in A^3/atom: 29.28



# 9
A relaxed NaEuInBi crystal. Source: the Alexandria database, functional PBE-GGA.

```
4
Lattice="0.000 3.942 3.942 3.942 0.000 3.942 3.942 3.942 0.000" Properties=species:S:1:pos:R:3 pbc="T T T"
Na 0.000 0.000 0.000
Eu 3.942 3.942 3.942
In 5.913 5.913 5.913
Bi 1.971 1.971 1.971
```

Results
SG: No. 216
Theoretical density in g/cm³: 6.76
Formation enthalpy at 0 K in eV/atom: -0.40
Volume in A^3/atom: 30.63



# 10
A relaxed NdEuInBi crystal. Source: the Alexandria database, functional PBE-GGA.

```
4
Lattice="0.000 3.964 3.964 3.964 0.000 3.964 3.964 3.964 0.000" Properties=species:S:1:pos:R:3 pbc="T T T"
Nd 0.000 0.000 0.000
Eu 3.964 3.964 3.964
In 1.982 1.982 1.982
Bi 5.946 5.946 5.946
```

Results
SG: No. 216
Theoretical density in g/cm³: 8.26
Formation enthalpy at 0 K in eV/atom: -0.53
Volume in A^3/atom: 31.15



# 11
A relaxed SrEuInBiO6 crystal. Source: the Alexandria database, functional PBE-GGA.

```
10
Lattice="0.000 4.235 4.235 4.235 0.000 4.235 4.235 4.235 0.000" Properties=species:S:1:pos:R:3 pbc="T T T"
Sr 0.000 0.000 0.000
Eu 4.235 4.235 4.235
In 2.118 2.118 2.118
Bi 6.353 6.353 6.353
O 6.353 6.353 4.242
O 6.353 4.242 6.353
O 8.465 6.353 6.353
O 4.242 6.353 6.353
O 6.353 8.465 6.353
O 6.353 6.353 8.465
```

Results
SG: No. 216
Relative energy among the computed polymorphs in meV per atom: 152
Theoretical density in g/cm³: 7.21
Volume in A^3/atom: 15.20
Formation energy without anion corrections in meV per atom: -1819



# 12
A relaxed SrEuInBiO6 crystal. Source: the Alexandria database, functional PBE-GGA.

```
20
Lattice="5.853 0.000 0.000 0.007 6.059 0.000 0.035 0.031 8.379" Properties=species:S:1:pos:R:3 pbc="T T T"
Sr 0.082 0.317 2.114
Sr 5.813 5.773 6.265
Eu 2.824 3.376 2.104
Eu 3.071 2.714 6.275
In 0.021 3.045 4.189
In 2.927 0.000 0.000
Bi 0.003 3.030 0.000
Bi 2.944 0.015 4.189
O 0.724 3.277 6.321
O 1.200 4.810 3.734
O 1.201 4.768 0.515
O 1.758 1.836 0.506
O 1.806 1.870 3.714
O 2.370 0.346 6.316
O 3.525 5.744 2.063
O 4.089 4.220 4.665
O 4.137 4.254 7.873
O 4.695 1.322 7.864
O 4.695 1.280 4.645
O 5.172 2.813 2.058
```

Results
SG: No. 2
Relative energy among the computed polymorphs in meV per atom: 0
Theoretical density in g/cm³: 7.37
Volume in A^3/atom: 14.86
Formation energy without anion corrections in meV per atom: -1971



# 13
A relaxed PmEuInBi crystal. Source: the Alexandria database, functional PBE-GGA.

```
4
Lattice="0.000 3.952 3.952 3.952 0.000 3.952 3.952 3.952 0.000" Properties=species:S:1:pos:R:3 pbc="T T T"
Pm 0.000 0.000 0.000
Eu 3.952 3.952 3.952
In 1.976 1.976 1.976
Bi 5.928 5.928 5.928
```

Results
SG: No. 216
Theoretical density in g/cm³: 8.35
Formation enthalpy at 0 K in eV/atom: -0.52
Volume in A^3/atom: 30.86



# 14
A relaxed EuInSnBi crystal. Source: the Alexandria database, functional PBE-GGA.

```
4
Lattice="0.000 3.938 3.938 3.938 0.000 3.938 3.938 3.938 0.000" Properties=species:S:1:pos:R:3 pbc="T T T"
Eu 0.000 0.000 0.000
In 1.969 1.969 1.969
Sn 3.938 3.938 3.938
Bi 5.908 5.908 5.908
```

Results
SG: No. 216
Theoretical density in g/cm³: 8.08
Formation enthalpy at 0 K in eV/atom: -0.26
Volume in A^3/atom: 30.54



# 15
A relaxed SrEuInBi crystal. Source: the Alexandria database, functional PBE-GGA.

```
4
Lattice="0.000 4.070 4.070 4.070 0.000 4.070 4.070 4.070 0.000" Properties=species:S:1:pos:R:3 pbc="T T T"
Sr 0.000 0.000 0.000
Eu 4.070 4.070 4.070
In 2.035 2.035 2.035
Bi 6.104 6.104 6.104
```

Results
SG: No. 216
Theoretical density in g/cm³: 6.94
Formation enthalpy at 0 K in eV/atom: -0.57
Volume in A^3/atom: 33.70



# 16
A relaxed EuZnInBi crystal. Source: the Alexandria database, functional PBE-GGA.

```
4
Lattice="0.000 3.864 3.864 3.864 0.000 3.864 3.864 3.864 0.000" Properties=species:S:1:pos:R:3 pbc="T T T"
Eu 0.000 0.000 0.000
Zn 5.796 5.796 5.796
In 3.864 3.864 3.864
Bi 1.932 1.932 1.932
```

Results
SG: No. 216
Theoretical density in g/cm³: 7.79
Formation enthalpy at 0 K in eV/atom: -0.24
Volume in A^3/atom: 28.85



# 17
A relaxed EuBi2Ir crystal. Source: the Alexandria database, functional PBE-GGA.

```
4
Lattice="1.925 1.112 10.042 -1.925 1.112 10.042 0.000 -2.223 10.042" Properties=species:S:1:pos:R:3 pbc="T T T"
Eu 0.000 0.000 0.000
Bi 0.000 0.000 3.370
Bi 0.000 0.000 26.756
Ir 0.000 0.000 15.063
```

Results
SG: No. 166
Theoretical density in g/cm³: 9.81
Formation enthalpy at 0 K in eV/atom: 0.08
Volume in A^3/atom: 32.24



# 18
A relaxed Eu3BiIr crystal. Source: the Alexandria database, functional PBE-GGA.

```
5
Lattice="5.547 0.000 0.000 0.000 5.547 0.000 0.000 0.000 5.547" Properties=species:S:1:pos:R:3 pbc="T T T"
Eu 0.000 0.000 2.773
Eu 0.000 2.773 0.000
Eu 2.773 0.000 0.000
Bi 2.773 2.773 2.773
Ir 0.000 0.000 0.000
```

Results
SG: No. 221
Theoretical density in g/cm³: 8.34
Formation enthalpy at 0 K in eV/atom: -0.51
Volume in A^3/atom: 34.13



# 19
A relaxed KNaEuBi crystal. Source: the Alexandria database, functional PBE-GGA.

```
4
Lattice="0.000 4.161 4.161 4.161 0.000 4.161 4.161 4.161 0.000" Properties=species:S:1:pos:R:3 pbc="T T T"
K 0.000 0.000 0.000
Na 6.242 6.242 6.242
Eu 4.161 4.161 4.161
Bi 2.081 2.081 2.081
```

Results
SG: No. 216
Theoretical density in g/cm³: 4.87
Formation enthalpy at 0 K in eV/atom: -0.34
Volume in A^3/atom: 36.03



# 20
A relaxed KEuSnBiO6 crystal. Source: the Alexandria database, functional PBE-GGA.

```
10
Lattice="0.000 4.192 4.192 4.192 0.000 4.192 4.192 4.192 0.000" Properties=species:S:1:pos:R:3 pbc="T T T"
K 0.000 0.000 0.000
Eu 4.192 4.192 4.192
Sn 2.096 2.096 2.096
Bi 6.288 6.288 6.288
O 2.096 2.096 0.032
O 2.096 0.032 2.096
O 4.160 2.096 2.096
O 0.032 2.096 2.096
O 2.096 4.160 2.096
O 2.096 2.096 4.160
```

Results
SG: No. 216
Theoretical density in g/cm³: 6.93
Volume in A^3/atom: 14.73
Formation energy without anion corrections in meV per atom: -1614



| no. | final energy (eV per atom) | total magnetization (μB per formula unit) |
| --- | --- | --- |
| 1 | -5.591 | 7.027 |
| 2 | -5.668 | 7.004 |
| 3 | -6.020 | 7.198 |
| 4 | -5.132 | 7.613 |
| 5 | -5.940 | 7.265 |
| 6 | -6.067 | 7.168 |
| 7 | -6.035 | 7.193 |
| 8 | -5.799 | 7.354 |
| 9 | -4.958 | 7.133 |
| 10 | -5.944 | 7.254 |
| 11 | -6.652 | 6.762 |
| 12 | -6.804 | 6.536 |
| 13 | -5.935 | 7.252 |
| 14 | -5.484 | 7.174 |
| 15 | -5.215 | 7.096 |
| 16 | -4.785 | 7.118 |
| 17 | -6.640 | 7.717 |
| 18 | -9.221 | 20.849 |
| 19 | -4.483 | 7.284 |
| 20 | -6.515 | 6.681 |